Run 1
Here is a geometry-optimized Pd2PtI structure from Alexandria via LeMat-Bulk. Energies are from PBE.

Cell lengths 7.489, 7.489, 5.962 Å; angles 51.09, 51.09, 90.00 degrees
Sites, in units of the cell vectors:
1 I 0.500 0.500 0.000
2 I 0.250 0.750 0.500
3 Pd 0.875 0.876 0.750
4 Pd 0.375 0.374 0.750
5 Pd 0.626 0.125 0.250
6 Pd 0.124 0.625 0.250
7 Pt 0.000 0.000 0.000
8 Pt 0.750 0.250 0.500

Calculated values
The space group is No. 122.

Run 2
Here is a geometry-optimized Pd2PtI structure from Alexandria via LeMat-Bulk. Energies are from PBE.

Cell lengths 4.668, 4.668, 4.668 Å; angles 60.00, 60.00, 60.00 degrees
Sites, in units of the cell vectors:
1 Pd 0.750 0.750 0.750
2 Pd 0.250 0.250 0.250
3 I 0.000 0.000 0.000
4 Pt 0.500 0.500 0.500

Calculated values
The space group is No. 225.

Stability check: which of them is least stable? run 2.

Run 1
Here is a geometry-optimized PdPtI3 structure from Alexandria via LeMat-Bulk. Energies are from PBE.

Cell lengths 4.723, 6.853, 9.898 Å; angles 90.00, 103.80, 90.00 degrees
Sites, in units of the cell vectors:
1 I 0.910 0.316 0.821
2 I 0.242 0.199 0.483
3 I 0.090 0.816 0.179
4 I 0.758 0.699 0.517
5 I 0.404 0.841 0.808
6 I 0.596 0.341 0.192
7 Pd 0.343 0.476 0.686
8 Pd 0.657 0.976 0.314
9 Pt 0.143 0.462 0.286
10 Pt 0.857 0.962 0.714

Calculated values
The space group is No. 36.

Run 2
Here is a geometry-optimized PdPtI3 structure from Alexandria via LeMat-Bulk. Energies are from PBE.

Cell lengths 5.482, 5.482, 5.482 Å; angles 90.00, 90.00, 90.00 degrees
Each line ends with the local moment (μB).
Sites, in units of the cell vectors:
1 I 0.000 0.000 0.500  0.02
2 I 0.500 0.000 0.000  0.06
3 I 0.000 0.500 0.000  0.08
4 Pt 0.000 0.000 0.000  0.02
5 Pd 0.500 0.500 0.500  0.50

Calculated values
The space group is No. 221.

Stability check: which of them is least stable? run 2.

Run 1
Here is a geometry-optimized PdPtI2 structure from Alexandria via LeMat-Bulk. Energies are from PBE.

Cell lengths 6.166, 6.166, 7.561 Å; angles 65.94, 65.94, 90.00 degrees
Sites, in units of the cell vectors:
1 Pt 0.750 0.250 0.500
2 Pt 0.000 0.000 0.000
3 Pd 0.500 0.500 0.000
4 Pd 0.250 0.750 0.500
5 I 0.630 0.125 0.250
6 I 0.375 0.370 0.750
7 I 0.120 0.625 0.250
8 I 0.875 0.880 0.750

Calculated values
The space group is No. 122.

Run 2
Here is a geometry-optimized PdPtI2 structure from Alexandria via LeMat-Bulk. Energies are from PBE.

Cell lengths 5.032, 5.032, 5.032 Å; angles 60.00, 60.00, 60.00 degrees
Sites, in units of the cell vectors:
1 I 0.750 0.750 0.750
2 I 0.250 0.250 0.250
3 Pd 0.000 0.000 0.000
4 Pt 0.500 0.500 0.500

Calculated values
The space group is No. 225.

Stability check: which of them is least stable? run 2.

Run 1
Here is a geometry-optimized Te2PdPtI structure from Alexandria via LeMat-Bulk. Energies are from PBE.

Cell lengths 5.825, 4.939, 5.825 Å; angles 90.00, 90.00, 90.00 degrees
Sites, in units of the cell vectors:
1 Te 0.000 0.000 0.500
2 Te 0.500 0.000 0.000
3 Pd 0.500 0.500 0.500
4 Pt 0.000 0.500 0.000
5 I 0.000 0.000 0.000

Calculated values
The space group is No. 123.

Run 2
Here is a geometry-optimized Te2PdPtI structure from Alexandria via LeMat-Bulk. Energies are from PBE.

Cell lengths 5.288, 5.288, 5.508 Å; angles 90.00, 90.00, 90.00 degrees
Sites, in units of the cell vectors:
1 Te 0.000 0.500 0.000
2 Te 0.500 0.000 0.000
3 Pt 0.000 0.000 0.000
4 Pd 0.500 0.500 0.500
5 I 0.000 0.000 0.500

Calculated values
The space group is No. 123.

Stability check: which of them is least stable? run 1.

Run 1
Here is a geometry-optimized Pu2PdI structure from Alexandria via LeMat-Bulk. Energies are from PBE.

Cell lengths 3.619, 3.619, 7.850 Å; angles 90.00, 90.00, 90.00 degrees
Each line ends with the local moment (μB).
Sites, in units of the cell vectors:
1 Pu 0.000 0.000 0.215  5.65
2 Pu 0.000 0.000 0.785  5.65
3 Pd 0.500 0.500 0.000  -0.02
4 I 0.500 0.500 0.500  -0.04

Calculated values
The space group is No. 123.

Run 2
Here is a geometry-optimized Pu2PdI structure from Alexandria via LeMat-Bulk. Energies are from PBE.

Cell lengths 4.092, 4.092, 8.506 Å; angles 76.08, 76.08, 60.00 degrees
Each line ends with the local moment (μB).
Sites, in units of the cell vectors:
1 Pd 0.000 0.000 0.000  -0.09
2 I 0.500 0.500 0.500  -0.04
3 Pu 0.734 0.734 0.799  5.43
4 Pu 0.266 0.266 0.201  5.43

Calculated values
The space group is No. 166.

Stability check: which of them is least stable? run 2.

Run 1
Here is a geometry-optimized RbSb2PdI structure from Alexandria via LeMat-Bulk. Energies are from PBE.

Cell lengths 5.072, 5.072, 9.295 Å; angles 90.00, 90.00, 90.00 degrees
Sites, in units of the cell vectors:
1 I 0.000 0.000 0.500
2 Sb 0.500 0.000 0.000
3 Sb 0.000 0.500 0.000
4 Rb 0.500 0.500 0.500
5 Pd 0.000 0.000 0.000

Calculated values
The space group is No. 123.

Run 2
Here is a geometry-optimized RbSb2PdI structure from Alexandria via LeMat-Bulk. Energies are from PBE.

Cell lengths 7.400, 7.400, 6.715 Å; angles 90.00, 90.00, 90.00 degrees
Each line ends with the local moment (μB).
Sites, in units of the cell vectors:
1 Sb 0.000 0.500 0.000  1.00
2 Sb 0.500 0.000 0.000  1.00
3 Rb 0.000 0.000 0.000  0.04
4 I 0.000 0.000 0.500  0.11
5 Pd 0.500 0.500 0.500  0.39

Calculated values
The space group is No. 123.

Stability check: which of them is least stable? run 2.

Run 1
Here is a geometry-optimized RbSbPdI2 structure from Alexandria via LeMat-Bulk. Energies are from PBE.

Cell lengths 5.967, 5.967, 5.109 Å; angles 90.00, 90.00, 90.00 degrees
Each line ends with the local moment (μB).
Sites, in units of the cell vectors:
1 Sb 0.000 0.000 0.500  0.18
2 I 0.500 0.000 0.000  0.02
3 I 0.000 0.500 0.000  0.02
4 Rb 0.500 0.500 0.500  0.00
5 Pd 0.000 0.000 0.000  0.04

Calculated values
The space group is No. 123.

Run 2
Here is a geometry-optimized RbSbPdI2 structure from Alexandria via LeMat-Bulk. Energies are from PBE.

Cell lengths 6.853, 6.853, 7.077 Å; angles 90.00, 90.00, 90.00 degrees
Each line ends with the local moment (μB).
Sites, in units of the cell vectors:
1 Sb 0.000 0.000 0.500  1.00
2 I 0.500 0.000 0.000  0.17
3 I 0.000 0.500 0.000  0.17
4 Rb 0.000 0.000 0.000  0.03
5 Pd 0.500 0.500 0.500  0.46

Calculated values
The space group is No. 123.

Stability check: which of them is least stable? run 2.

Run 1
Here is a geometry-optimized RbTe2PdI structure from Alexandria via LeMat-Bulk. Energies are from PBE.

Cell lengths 5.392, 5.392, 5.878 Å; angles 90.00, 90.00, 90.00 degrees
Sites, in units of the cell vectors:
1 Te 0.500 0.000 0.000
2 Te 0.000 0.500 0.000
3 Rb 0.500 0.500 0.500
4 Pd 0.000 0.000 0.000
5 I 0.000 0.000 0.500

Calculated values
The space group is No. 123.

Run 2
Here is a geometry-optimized RbTe2PdI structure from Alexandria via LeMat-Bulk. Energies are from PBE.

Cell lengths 6.807, 6.807, 6.710 Å; angles 90.00, 90.00, 90.00 degrees
Each line ends with the local moment (μB).
Sites, in units of the cell vectors:
1 Rb 0.000 0.000 0.000  0.02
2 Pd 0.500 0.500 0.500  0.46
3 Te 0.500 0.000 0.000  0.83
4 Te 0.000 0.500 0.000  0.83
5 I 0.000 0.000 0.500  0.20

Calculated values
The space group is No. 123.

Stability check: which of them is least stable? run 2.